(1)
Material: CeHoThSn
Method: DFT, PBE-GGA
State: optimized geometry

Values from the calculation:
DFT formation energy (eV/atom): -0.142
Electronic total energy (eV/atom): -5.63
DOS at the Fermi energy (states/eV per cell): 9.0

abc: 5.4389 5.4389 5.4389
angles: 60.00 60.00 60.00
Closest atoms and distances in Å follow each position.
Element x y z (fractional)
Ce (0.5000, 0.5000, 0.5000)  4 Th 3.33, 4 Sn 3.33
Ho (0.0000, 0.0000, 0.0000)  4 Sn 3.33, 4 Th 3.33
Th (0.7500, 0.7500, 0.7500)  4 Ce 3.33, 4 Ho 3.33
Sn (0.2500, 0.2500, 0.2500)  4 Ce 3.33, 4 Ho 3.33



(2)
Material: Ce2HoZn2Sn2
Method: DFT, PBE-GGA
State: optimized geometry

Values from the calculation:
DFT formation energy (eV/atom): -0.323
Electronic total energy (eV/atom): -4.18
DOS at the Fermi energy (states/eV per cell): 11.6

abc: 4.5329 4.5329 9.6939
angles: 76.48 76.48 60.00
Closest atoms and distances in Å follow each position.
Element x y z (fractional)
Ce (0.1422, 0.1422, 0.5735)  3 Ce 2.96, 3 Zn 3.07
Ce (0.8578, 0.8578, 0.4265)  3 Ce 2.96, 3 Zn 3.07
Ho (0.0000, 0.0000, 0.0000)  6 Sn 3.16, 6 Zn 3.54
Zn (0.5818, 0.5818, 0.2546)  3 Sn 2.69
Zn (0.4182, 0.4182, 0.7454)  3 Sn 2.69
Sn (0.7300, 0.7300, 0.8099)  3 Zn 2.69
Sn (0.2700, 0.2700, 0.1901)  3 Zn 2.69



(3)
Material: CeHoZnSn
Method: DFT, PBE-GGA
State: optimized geometry

Values from the calculation:
DFT formation energy (eV/atom): -0.438
Electronic total energy (eV/atom): -4.38
DOS at the Fermi energy (states/eV per cell): 7.6

abc: 5.2416 5.2416 5.2416
angles: 60.00 60.00 60.00
Closest atoms and distances in Å follow each position.
Element x y z (fractional)
Zn (0.7500, 0.7500, 0.7500)  4 Ce 3.21, 4 Ho 3.21
Ho (0.0000, 0.0000, 0.0000)  4 Sn 3.21, 4 Zn 3.21
Ce (0.5000, 0.5000, 0.5000)  4 Zn 3.21, 4 Sn 3.21
Sn (0.2500, 0.2500, 0.2500)  4 Ce 3.21, 4 Ho 3.21



(4)
Material: SrCeHo2
Method: DFT, PBE-GGA
State: optimized geometry

Values from the calculation:
DFT formation energy (eV/atom): 0.252
Excess energy over the best structure of this formula in the dataset (meV per atom): 103
Electronic total energy (eV/atom): -3.94
DOS at the Fermi energy (states/eV per cell): 6.7

abc: 3.5638 3.5638 12.7043
angles: 81.94 81.94 60.00
Closest atoms and distances in Å follow each position.
Element x y z (fractional)
Sr (0.0000, 0.0000, 0.0000)  2 Ho 3.53, 6 Sr 3.56
Ho (0.0938, 0.0938, 0.7187)  3 Ce 3.43, 1 Sr 3.53, 6 Ho 3.56
Ho (0.9062, 0.9062, 0.2813)  3 Ce 3.43, 1 Sr 3.53, 6 Ho 3.56
Ce (0.5000, 0.5000, 0.5000)  6 Ho 3.43, 6 Ce 3.56



(5)
Material: SrCe2Ho
Method: DFT, PBE-GGA
State: optimized geometry

Values from the calculation:
DFT formation energy (eV/atom): 0.324
Electronic total energy (eV/atom): -4.21
DOS at the Fermi energy (states/eV per cell): 11.9

abc: 3.5126 3.5126 12.9565
angles: 82.21 82.21 60.00
Closest atoms and distances in Å follow each position.
Element x y z (fractional)
Sr (0.0000, 0.0000, 0.0000)  2 Ce 3.50, 6 Sr 3.51
Ho (0.5000, 0.5000, 0.5000)  6 Ho 3.51, 6 Ce 3.54
Ce (0.0912, 0.0912, 0.7263)  1 Sr 3.50, 6 Ce 3.51, 3 Ho 3.54
Ce (0.9088, 0.9088, 0.2737)  1 Sr 3.50, 6 Ce 3.51, 3 Ho 3.54



(6)
Material: SrCeHo2
Method: DFT, PBE-GGA
State: optimized geometry

Values from the calculation:
DFT formation energy (eV/atom): 0.149
Excess energy over the best structure of this formula in the dataset (meV per atom): 0
Electronic total energy (eV/atom): -4.04
DOS at the Fermi energy (states/eV per cell): 6.6

abc: 3.6553 3.6553 10.3771
angles: 90.00 90.00 90.00
Closest atoms and distances in Å follow each position.
Element x y z (fractional)
Sr (0.5000, 0.5000, 0.5000)  4 Sr 3.66, 8 Ho 3.94
Ho (0.0000, 0.0000, 0.7870)  4 Ce 3.40, 4 Ho 3.66
Ho (0.0000, 0.0000, 0.2130)  4 Ce 3.40, 4 Ho 3.66
Ce (0.5000, 0.5000, 0.0000)  8 Ho 3.40, 4 Ce 3.66



Calculated mass density, 9.6; 8.1; 8.0; 6.7; 6.5; 6.7 g cm⁻³ (same order as the records).